No. 1
# NdSm2Y4 | the Alexandria database | GGA-PBE | relaxed
data_NdSm2Y4
_chemical_formula_sum 'Nd2 Sm4 Y8'
_symmetry_space_group_name_H-M 'P 1'
_symmetry_Int_Tables_number 1
_symmetry_space_group_name_Hall 'P 1'
_cell_length_a 8.658
_cell_length_b 8.658
_cell_length_c 11.751
_cell_angle_alpha 126.13
_cell_angle_beta 126.13
_cell_angle_gamma 43.86
loop_
_atom_site_label
_atom_site_type_symbol
_atom_site_fract_x
_atom_site_fract_y
_atom_site_fract_z
Nd1 Nd 0.190 0.190 0.463
Nd2 Nd 0.810 0.810 0.537
Sm1 Sm 0.132 0.868 0.500
Sm2 Sm 0.198 0.421 0.038
Sm3 Sm 0.258 0.742 0.000
Sm4 Sm 0.579 0.802 0.962
Y1 Y 0.425 0.478 0.665
Y2 Y 0.505 0.147 0.312
Y3 Y 0.522 0.575 0.335
Y4 Y 0.538 0.116 0.815
Y5 Y 0.853 0.495 0.688
Y6 Y 0.869 0.033 0.165
Y7 Y 0.884 0.462 0.185
Y8 Y 0.967 0.131 0.835
# ΔE to the lowest computed polymorph   124 meV/atom
# Magnetic moment   0.00 μB/f.u.
# Crystal system   monoclinic
# Formation enthalpy at 0 K   105 kJ/mol of formula units
# Volume   471 Å³/cell
# Density   5.643 Mg/m³

No. 2
# Nd6NiSb3 | the Alexandria database | GGA-PBE | relaxed
data_Nd6NiSb3
_chemical_formula_sum 'Nd12 Ni2 Sb6'
_symmetry_space_group_name_H-M 'P 1'
_symmetry_Int_Tables_number 1
_symmetry_space_group_name_Hall 'P 1'
_cell_length_a 9.532
_cell_length_b 9.532
_cell_length_c 7.498
_cell_angle_alpha 90.00
_cell_angle_beta 90.00
_cell_angle_gamma 103.74
loop_
_atom_site_label
_atom_site_type_symbol
_atom_site_fract_x
_atom_site_fract_y
_atom_site_fract_z
Nd1 Nd 0.004 0.996 0.500
Nd2 Nd 0.099 0.590 0.092
Nd3 Nd 0.244 0.756 0.580
Nd4 Nd 0.295 0.366 0.595
Nd5 Nd 0.366 0.295 0.095
Nd6 Nd 0.410 0.901 0.092
Nd7 Nd 0.590 0.099 0.592
Nd8 Nd 0.634 0.705 0.595
Nd9 Nd 0.705 0.634 0.095
Nd10 Nd 0.756 0.244 0.080
Nd11 Nd 0.901 0.410 0.592
Nd12 Nd 0.996 0.004 0.000
Ni1 Ni 0.145 0.855 0.259
Ni2 Ni 0.855 0.145 0.759
Sb1 Sb 0.069 0.290 0.279
Sb2 Sb 0.290 0.069 0.779
Sb3 Sb 0.398 0.602 0.896
Sb4 Sb 0.602 0.398 0.396
Sb5 Sb 0.710 0.931 0.279
Sb6 Sb 0.931 0.710 0.779
# Magnetic moment   1.01 μB/f.u.
# Crystal system   orthorhombic
# E_tot   -105.42 eV per cell
# Volume   662 Å³/cell
# Density   6.471 Mg/m³